A plane-wave DFT calculation with GGA-PBE was carried out for a relaxed structure of KIr2Pt.

Unit cell a=9.667 b=9.667 c=9.667 alpha=151.99 beta=151.99 gamma=40.03
Element x y z (fractional)
K1 0.000 0.000 0.000
K2 0.750 0.250 0.500
Ir1 0.299 0.125 0.674
Ir2 0.375 0.701 0.826
Ir3 0.451 0.625 0.326
Ir4 0.875 0.549 0.174
Pt1 0.250 0.750 0.500
Pt2 0.500 0.500 0.000

Values from the calculation:
**Formation energy**: 747 meV/atom
**Calculated total energy**: -43.75 eV for the cell shown
**Energy above the lowest structure with this stoichiometry**: 430 meV per atom

A plane-wave DFT calculation with GGA-PBE was carried out for a relaxed structure of ScBeTl.

Unit cell a=3.678 b=3.678 c=10.842 alpha=99.71 beta=99.71 gamma=59.98
Element x y z (fractional)
Sc1 0.000 0.000 0.000
Sc2 0.104 0.104 0.311
Be1 0.385 0.385 0.155
Be2 0.718 0.718 0.155
Tl1 0.257 0.257 0.772
Tl2 0.511 0.511 0.537

Values from the calculation:
**Formation energy**: -62 meV/atom
**Calculated total energy**: -25.22 eV for the cell shown
**Energy above the lowest structure with this stoichiometry**: 26 meV per atom

A plane-wave DFT calculation with GGA-PBE was carried out for a relaxed structure of Li3UNi2Se6.

Unit cell a=6.339 b=6.339 c=6.847 alpha=98.90 beta=98.90 gamma=119.94
Element x y z (fractional)
Li1 0.000 0.000 0.000
Li2 0.341 0.659 0.000
Li3 0.659 0.341 0.000
U1 0.500 0.500 0.500
Ni1 0.167 0.833 0.500
Ni2 0.833 0.167 0.500
Se1 0.065 0.422 0.267
Se2 0.220 0.220 0.733
Se3 0.422 0.065 0.267
Se4 0.578 0.935 0.733
Se5 0.780 0.780 0.267
Se6 0.935 0.578 0.733

Values from the calculation:
**Calculated total energy**: -59.24 eV for the cell shown

A plane-wave DFT calculation with GGA-PBE was carried out for a relaxed structure of InAsPdSe2.

Unit cell a=5.229 b=5.229 c=5.205 alpha=90.00 beta=90.00 gamma=90.00
Element x y z (fractional)
In1 0.000 0.000 0.000
As1 0.000 0.000 0.500
Pd1 0.500 0.500 0.500
Se1 0.000 0.500 0.000
Se2 0.500 0.000 0.000

Values from the calculation:
**Calculated total energy**: -15.12 eV for the cell shown
**Energy above the lowest structure with this stoichiometry**: 638 meV per atom

A plane-wave DFT calculation with GGA-PBE was carried out for a relaxed structure of ReTe2.

Unit cell a=8.512 b=8.512 c=5.344 alpha=90.00 beta=90.00 gamma=156.55
Element x y z (fractional)
Re1 0.166 0.834 0.750
Re2 0.834 0.166 0.250
Te1 0.203 0.797 0.250
Te2 0.452 0.548 0.250
Te3 0.548 0.452 0.750
Te4 0.797 0.203 0.750

Values from the calculation:
**Calculated total energy**: -35.54 eV for the cell shown

A plane-wave DFT calculation with GGA-PBE was carried out for a relaxed structure of ZrTc2Ir.

Unit cell a=4.997 b=4.997 c=4.794 alpha=100.13 beta=100.13 gamma=33.85
Element x y z (fractional)
Zr1 0.000 0.000 0.000
Tc1 0.232 0.232 0.718
Tc2 0.768 0.768 0.282
Ir1 0.500 0.500 0.500

Values from the calculation:
**Formation energy**: -144 meV/atom
**Calculated total energy**: -38.72 eV for the cell shown
**Energy above the lowest structure with this stoichiometry**: 38 meV per atom

Which formula does entry 3 have?
Li3UNi2Se6

The lowest calculated total energy belongs to which entry?
Li3UNi2Se6